PuTcSn2 | PBE-GGA | optimized geometry

```
PuTcSn2
1.0
-4.511 -0.006 0.958
-2.843 -2.801 -2.309
-1.731 -4.443 2.918
Sn Pu Tc
2 1 1
Direct
0.773 0.773 0.680
0.227 0.227 0.320
0.000 0.000 0.000
0.500 0.500 0.500
```

Results
Its total DFT energy (no corrections) is -8.170 eV/atom. As for the energy relative to the elements: 0.006 eV/atom. Its volume is 22.6 Å³ per atom.


Pu6TcSn10 | PBE-GGA | optimized geometry

```
Pu6TcSn10
1.0
2.767 7.698 4.012
-4.235 0.331 -8.060
-5.343 0.448 2.825
Sn Pu Tc
10 6 1
Direct
0.000 0.767 0.216
0.000 0.233 0.784
0.233 0.000 0.784
0.767 0.000 0.216
0.233 0.233 0.216
0.333 0.667 0.500
0.667 0.333 0.000
0.767 0.767 0.784
0.333 0.667 0.000
0.667 0.333 0.500
0.000 0.396 0.264
0.396 0.396 0.736
0.000 0.604 0.736
0.396 0.000 0.264
0.604 0.604 0.264
0.604 0.000 0.736
0.000 0.000 0.500
```

Results
Its total DFT energy (no corrections) is -8.253 eV/atom. As for the energy relative to the elements: -0.230 eV/atom. Its volume is 25.6 Å³ per atom.


PuTc4Sn | PBE-GGA | optimized geometry

```
PuTc4Sn
1.0
-4.750 2.268 0.744
-3.301 0.665 -4.113
-4.426 -2.923 -0.356
Tc Sn Pu
4 1 1
Direct
0.624 0.129 0.624
0.129 0.624 0.624
0.624 0.624 0.624
0.624 0.624 0.129
0.250 0.250 0.250
0.000 0.000 0.000
```

Results
Its total DFT energy (no corrections) is -9.882 eV/atom. As for the energy relative to the elements: 0.084 eV/atom. Its volume is 17.7 Å³ per atom.


Pu2SnTe | PBE-GGA | optimized geometry

```
Pu2SnTe
1.0
5.339 0.000 0.000
2.669 4.623 0.000
2.669 1.541 4.359
Pu Sn Te
2 1 1
Direct
0.250 0.250 0.250
0.750 0.750 0.750
0.500 0.500 0.500
0.000 0.000 0.000
```

Results
Its total DFT energy (no corrections) is -9.450 eV/atom. Its volume is 26.9 Å³ per atom. The formation energy (no corrections) is -498.3 meV/atom.


Pu3SnTe6 | PBE-GGA | optimized geometry

```
Pu3SnTe6
1.0
-5.966 4.558 -1.580
-0.275 -3.711 -9.664
-6.466 -7.158 3.767
Te Pu Sn
12 6 2
Direct
0.770 0.082 0.918
0.231 0.387 0.897
0.121 0.358 0.347
0.731 0.613 0.103
0.731 0.897 0.387
0.121 0.653 0.642
0.231 0.103 0.613
0.621 0.642 0.653
0.216 0.720 0.280
0.270 0.918 0.082
0.621 0.347 0.358
0.716 0.280 0.720
0.386 0.471 0.168
0.870 0.599 0.401
0.386 0.832 0.529
0.886 0.168 0.471
0.370 0.401 0.599
0.886 0.529 0.832
0.653 0.895 0.105
0.153 0.105 0.895
```

Results
Its total DFT energy (no corrections) is -7.195 eV/atom. Its volume is 41.0 Å³ per atom. The formation energy (no corrections) is -610.6 meV/atom.


PuSnTe | PBE-GGA | optimized geometry

```
PuSnTe
1.0
5.993 0.000 -2.162
0.000 4.440 0.000
-4.084 0.000 15.400
Sn Te Pu
4 4 4
Direct
0.189 0.250 0.543
0.846 0.750 0.074
0.811 0.750 0.457
0.154 0.250 0.926
0.406 0.750 0.105
0.874 0.750 0.754
0.126 0.250 0.246
0.594 0.250 0.895
0.257 0.750 0.409
0.743 0.250 0.591
0.323 0.750 0.716
0.677 0.250 0.284
```

Results
Its total DFT energy (no corrections) is -7.634 eV/atom. Its volume is 30.9 Å³ per atom. The formation energy (no corrections) is -475.7 meV/atom.